(1)
## AcNd2Sm2Y2 (PBE)

Data for crystalline AcNd2Sm2Y2 at its relaxed geometry.

## Properties
space-group type	C2/m (12)

Lattice parameters (Å, degrees): 5.222 6.366 8.234 97.59 90.00 114.21
Fractional coordinates of all 7 atoms:
Sm1 0.715 0.429 0.149
Sm2 0.285 0.571 0.851
Y1 0.143 0.286 0.434
Y2 0.857 0.714 0.566
Ac1 0.000 0.000 0.000
Nd1 0.574 0.147 0.711
Nd2 0.426 0.853 0.289


(2)
## Ac3NdSm2Y6 (PBE)

Data for crystalline Ac3NdSm2Y6 at its relaxed geometry.

## Properties
space-group type	C2/m (12)

Lattice parameters (Å, degrees): 6.448 6.448 12.007 95.13 95.13 120.00
Fractional coordinates of all 12 atoms:
Ac1 0.167 0.833 0.500
Ac2 0.500 0.500 0.500
Ac3 0.833 0.167 0.500
Nd1 0.000 0.000 0.000
Y1 0.585 0.919 0.757
Y2 0.415 0.081 0.243
Y3 0.081 0.415 0.243
Y4 0.747 0.747 0.243
Y5 0.919 0.585 0.757
Y6 0.253 0.253 0.757
Sm1 0.667 0.333 0.000
Sm2 0.333 0.667 0.000


(3)
## AcNdSmZn (PBE)

Data for crystalline AcNdSmZn at its relaxed geometry.

## Properties
space-group type	F-43m (216)

Lattice parameters (Å, degrees): 5.620 5.620 5.620 60.00 60.00 60.00
Fractional coordinates of all 4 atoms:
Nd1 0.250 0.250 0.250
Sm1 0.750 0.750 0.750
Zn1 0.000 0.000 0.000
Ac1 0.500 0.500 0.500


(4)
## AcNdSmZn (PBE)

Data for crystalline AcNdSmZn at its relaxed geometry.

## Properties
space-group type	P4mm (99)

Lattice parameters (Å, degrees): 3.747 3.747 9.019 90.00 90.00 90.00
Fractional coordinates of all 4 atoms:
Zn1 0.000 0.000 0.576
Nd1 0.500 0.500 0.375
Sm1 0.500 0.500 0.767
Ac1 0.000 0.000 0.068


(5)
## AcNd2Sn (PBE)

Data for crystalline AcNd2Sn at its relaxed geometry.

## Properties
space-group type	P4/mmm (123)

Lattice parameters (Å, degrees): 4.188 4.188 7.654 90.00 90.00 90.00
Fractional coordinates of all 4 atoms:
Sn1 0.500 0.500 0.500
Ac1 0.500 0.500 0.000
Nd1 0.000 0.000 0.704
Nd2 0.000 0.000 0.296


(6)
## Ac5Nd2Sn5 (PBE)

Data for crystalline Ac5Nd2Sn5 at its relaxed geometry.

## Properties
space-group type	C2/m (12)

Lattice parameters (Å, degrees): 4.719 8.214 13.584 108.37 90.00 106.69
Fractional coordinates of all 12 atoms:
Sn1 0.888 0.775 0.583
Sn2 0.313 0.627 0.207
Sn3 0.000 0.000 0.000
Sn4 0.687 0.373 0.793
Sn5 0.112 0.225 0.417
Ac1 0.500 0.000 0.500
Ac2 0.735 0.471 0.350
Ac3 0.265 0.529 0.650
Ac4 0.661 0.322 0.044
Ac5 0.339 0.678 0.956
Nd1 0.952 0.905 0.210
Nd2 0.048 0.095 0.790


(7)
## AcNdSn4 (PBE)

Data for crystalline AcNdSn4 at its relaxed geometry.

## Properties
space-group type	Cmcm (63)

Lattice parameters (Å, degrees): 4.841 6.688 11.624 90.00 102.02 90.00
Fractional coordinates of all 12 atoms:
Sn1 0.000 0.000 0.000
Sn2 0.000 0.500 0.000
Sn3 0.145 0.000 0.290
Sn4 0.424 0.750 0.848
Sn5 0.855 0.000 0.710
Sn6 0.145 0.500 0.290
Sn7 0.855 0.500 0.710
Sn8 0.576 0.250 0.152
Ac1 0.724 0.250 0.447
Ac2 0.276 0.750 0.553
Nd1 0.570 0.750 0.140
Nd2 0.430 0.250 0.860


(8)
## Ac6NdSn6 (PBE)

Data for crystalline Ac6NdSn6 at its relaxed geometry.

## Properties
space-group type	P6/mmm (191)

Lattice parameters (Å, degrees): 8.098 8.098 9.420 90.00 90.00 120.01
Fractional coordinates of all 13 atoms:
Ac1 0.500 0.500 0.745
Ac2 0.500 0.500 0.255
Ac3 0.000 0.500 0.255
Ac4 0.500 0.000 0.255
Ac5 0.000 0.500 0.745
Ac6 0.500 0.000 0.745
Sn1 0.667 0.333 0.000
Sn2 0.000 0.000 0.662
Sn3 0.333 0.667 0.500
Sn4 0.333 0.667 0.000
Sn5 0.000 0.000 0.338
Sn6 0.667 0.333 0.500
Nd1 0.000 0.000 0.000


(9)
## AcNdSn4 (PBE)

Data for crystalline AcNdSn4 at its relaxed geometry.

## Properties
space-group type	F-43m (216)

Lattice parameters (Å, degrees): 6.320 6.320 6.320 60.00 60.00 60.00
Fractional coordinates of all 6 atoms:
Nd1 0.250 0.250 0.250
Sn1 0.127 0.624 0.624
Sn2 0.624 0.127 0.624
Sn3 0.624 0.624 0.624
Sn4 0.624 0.624 0.127
Ac1 0.000 0.000 0.000


(10)
## AcNd5Sn4 (PBE)

Data for crystalline AcNd5Sn4 at its relaxed geometry.

## Properties
space-group type	Pmmn (59)

Lattice parameters (Å, degrees): 8.026 8.983 10.403 90.00 90.00 90.00
Fractional coordinates of all 20 atoms:
Nd1 0.267 0.764 0.204
Nd2 0.733 0.736 0.704
Nd3 0.267 0.236 0.796
Nd4 0.733 0.264 0.704
Nd5 0.087 0.000 0.500
Nd6 0.267 0.236 0.204
Nd7 0.733 0.264 0.296
Nd8 0.913 0.500 0.000
Nd9 0.733 0.736 0.296
Nd10 0.267 0.764 0.796
Sn1 0.024 0.500 0.708
Sn2 0.024 0.500 0.292
Sn3 0.976 0.000 0.208
Sn4 0.550 0.660 0.000
Sn5 0.976 0.000 0.792
Sn6 0.450 0.840 0.500
Sn7 0.450 0.160 0.500
Sn8 0.550 0.340 0.000
Ac1 0.665 0.000 0.000
Ac2 0.335 0.500 0.500


(11)
## AcNd2Sn (PBE)

Data for crystalline AcNd2Sn at its relaxed geometry.

## Properties
space-group type	Cmcm (63)

Lattice parameters (Å, degrees): 4.423 6.745 10.043 90.00 90.00 109.15
Fractional coordinates of all 8 atoms:
Nd1 0.358 0.716 0.958
Nd2 0.642 0.284 0.042
Nd3 0.358 0.716 0.542
Nd4 0.642 0.284 0.458
Sn1 0.766 0.532 0.750
Sn2 0.234 0.468 0.250
Ac1 0.943 0.887 0.250
Ac2 0.057 0.113 0.750


(12)
## AcNd2Sn (PBE)

Data for crystalline AcNd2Sn at its relaxed geometry.

## Properties
space-group type	P4/mmm (123)

Lattice parameters (Å, degrees): 4.996 5.114 5.114 90.00 90.00 90.00
Fractional coordinates of all 4 atoms:
Ac1 0.500 0.500 0.500
Nd1 0.000 0.000 0.500
Nd2 0.000 0.500 0.000
Sn1 0.500 0.000 0.000


E_form for the records above, in order: 0.0301, 0.0369, 0.1416, -0.1347, -0.3329, -0.5430, -0.5369, -0.3391, -0.3898, -0.3176, -0.3703, -0.3947 eV per atom